No. 1
! Ce2SbSe5 | Alexandria via LeMat-Bulk | PBE | relaxed; values from VASP
&SYSTEM
  ibrav = 0, nat = 16, ntyp = 3
/
ATOMIC_SPECIES
Ce 140.12 Ce.upf
Sb 121.76 Sb.upf
Se 78.96 Se.upf
CELL_PARAMETERS angstrom
8.140 0.000 0.000
0.000 12.190 0.000
0.000 0.000 4.157
ATOMIC_POSITIONS crystal
Ce 0.034 0.175 0.000
Ce 0.466 0.675 0.000
Ce 0.534 0.325 0.000
Ce 0.966 0.825 0.000
Sb 0.000 0.500 0.500
Sb 0.500 0.000 0.500
Se 0.000 0.000 0.500
Se 0.177 0.400 0.000
Se 0.177 0.701 0.500
Se 0.323 0.201 0.500
Se 0.323 0.900 0.000
Se 0.500 0.500 0.500
Se 0.677 0.100 0.000
Se 0.677 0.799 0.500
Se 0.823 0.299 0.500
Se 0.823 0.600 0.000
! Distance to the lowest polymorph of the same formula ... 0 meV per atom

---

No. 2
! CsBeIn2Bi | Alexandria via LeMat-Bulk | PBE | relaxed; values from VASP
&SYSTEM
  ibrav = 0, nat = 5, ntyp = 4
/
ATOMIC_SPECIES
Cs 132.91 Cs.upf
Be 9.01 Be.upf
In 114.82 In.upf
Bi 208.98 Bi.upf
CELL_PARAMETERS angstrom
6.899 0.000 0.000
0.000 6.899 0.000
0.000 0.000 4.599
ATOMIC_POSITIONS crystal
Cs 0.000 0.000 0.000
Be 0.500 0.500 0.000
In 0.000 0.500 0.500
In 0.500 0.000 0.500
Bi 0.500 0.500 0.500
! Energy relative to the elements ... 2.8 eV/f.u.

---

No. 3
! Cs2LaBeI6 | Alexandria via LeMat-Bulk | PBE | relaxed; values from VASP
&SYSTEM
  ibrav = 0, nat = 10, ntyp = 4
/
ATOMIC_SPECIES
Cs 132.91 Cs.upf
La 138.91 La.upf
Be 9.01 Be.upf
I 126.90 I.upf
CELL_PARAMETERS angstrom
0.000 6.088 6.088
6.088 0.000 6.088
6.088 6.088 0.000
ATOMIC_POSITIONS crystal
Cs 0.250 0.250 0.250
Cs 0.750 0.750 0.750
La 0.000 0.000 0.000
Be 0.500 0.500 0.500
I 0.261 0.261 0.739
I 0.261 0.739 0.261
I 0.261 0.739 0.739
I 0.739 0.261 0.261
I 0.739 0.261 0.739
I 0.739 0.739 0.261
! Electronic total energy ... -30.30 eV/cell

---

No. 4
! ScTcHg2B | Alexandria via LeMat-Bulk | PBE | relaxed; values from VASP
&SYSTEM
  ibrav = 0, nat = 5, ntyp = 4
/
ATOMIC_SPECIES
Sc 44.96 Sc.upf
Tc 98.00 Tc.upf
Hg 200.59 Hg.upf
B 10.81 B.upf
CELL_PARAMETERS angstrom
4.447 0.000 0.000
0.000 4.447 0.000
0.000 0.000 4.638
ATOMIC_POSITIONS crystal
Sc 0.000 0.000 0.000
Tc 0.500 0.500 0.000
Hg 0.000 0.500 0.500
Hg 0.500 0.000 0.500
B 0.000 0.000 0.500
! Energy relative to the elements ... 3.6 eV/f.u.

---

No. 5
! BeOsBr2 | Alexandria via LeMat-Bulk | PBE | relaxed; values from VASP
&SYSTEM
  ibrav = 0, nat = 4, ntyp = 3
/
ATOMIC_SPECIES
Be 9.01 Be.upf
Os 190.23 Os.upf
Br 79.90 Br.upf
CELL_PARAMETERS angstrom
3.058 -4.121 0.000
3.058 4.121 0.000
-1.801 0.000 2.968
ATOMIC_POSITIONS crystal
Be 0.000 0.000 0.000
Os 0.500 0.500 0.000
Br 0.000 0.500 0.000
Br 0.500 0.000 0.000
! Distance to the lowest polymorph of the same formula ... 1038 meV per atom

---

No. 6
! Tl4Cu3S4 | Alexandria via LeMat-Bulk | PBE | relaxed; values from VASP
&SYSTEM
  ibrav = 0, nat = 11, ntyp = 3
/
ATOMIC_SPECIES
Tl 204.38 Tl.upf
Cu 63.55 Cu.upf
S 32.06 S.upf
CELL_PARAMETERS angstrom
3.714 0.000 0.000
-0.001 4.982 0.000
-0.828 -1.563 14.093
ATOMIC_POSITIONS crystal
Tl 0.041 0.143 0.168
Tl 0.335 0.775 0.581
Tl 0.665 0.225 0.419
Tl 0.959 0.857 0.832
Cu 0.000 0.500 0.000
Cu 0.447 0.318 0.745
Cu 0.553 0.682 0.255
S 0.074 0.697 0.347
S 0.479 0.350 0.902
S 0.521 0.650 0.098
S 0.926 0.303 0.653
! Electronic total energy ... -40.91 eV/cell

---

No. 7
! Na2IrW | Alexandria via LeMat-Bulk | PBE | relaxed; values from VASP
&SYSTEM
  ibrav = 0, nat = 8, ntyp = 3
/
ATOMIC_SPECIES
Na 22.99 Na.upf
Ir 192.22 Ir.upf
W 183.84 W.upf
CELL_PARAMETERS angstrom
-4.222 4.222 2.465
4.222 -4.222 2.465
4.222 4.222 -2.465
ATOMIC_POSITIONS crystal
Na 0.087 0.625 0.962
Na 0.375 0.337 0.462
Na 0.663 0.125 0.038
Na 0.875 0.913 0.538
Ir 0.000 0.000 0.000
Ir 0.750 0.250 0.500
W 0.250 0.750 0.500
W 0.500 0.500 0.000
! Distance to the lowest polymorph of the same formula ... 0 meV per atom
! Energy relative to the elements ... 5.5 eV/f.u.

---

No. 8
! CoTc3Ru | Alexandria via LeMat-Bulk | PBE | relaxed; values from VASP
&SYSTEM
  ibrav = 0, nat = 5, ntyp = 3
/
ATOMIC_SPECIES
Co 58.93 Co.upf
Tc 98.00 Tc.upf
Ru 101.07 Ru.upf
CELL_PARAMETERS angstrom
4.330 0.000 0.000
0.000 4.330 0.000
0.000 0.000 4.330
ATOMIC_POSITIONS crystal
Co 0.000 0.000 0.000
Tc 0.000 0.000 0.500
Tc 0.000 0.500 0.000
Tc 0.500 0.000 0.000
Ru 0.500 0.500 0.500
! Distance to the lowest polymorph of the same formula ... 0 meV per atom
! Energy relative to the elements ... 7.2 eV/f.u.

---

No. 9
! TbCeZnSi | Alexandria via LeMat-Bulk | PBE | relaxed; values from VASP
&SYSTEM
  ibrav = 0, nat = 4, ntyp = 4
/
ATOMIC_SPECIES
Tb 158.93 Tb.upf
Ce 140.12 Ce.upf
Zn 65.41 Zn.upf
Si 28.09 Si.upf
CELL_PARAMETERS angstrom
0.000 3.564 3.564
3.564 0.000 3.564
3.564 3.564 0.000
ATOMIC_POSITIONS crystal
Tb 0.000 0.000 0.000
Ce 0.500 0.500 0.500
Zn 0.250 0.250 0.250
Si 0.750 0.750 0.750
! Electronic total energy ... -18.91 eV/cell

---

No. 10
! Dy2BeSi2Ni5 | Alexandria via LeMat-Bulk | PBE | relaxed; values from VASP
&SYSTEM
  ibrav = 0, nat = 20, ntyp = 4
/
ATOMIC_SPECIES
Dy 162.50 Dy.upf
Be 9.01 Be.upf
Si 28.09 Si.upf
Ni 58.69 Ni.upf
CELL_PARAMETERS angstrom
9.833 0.000 0.000
0.000 9.833 0.000
0.000 0.000 2.883
ATOMIC_POSITIONS crystal
Dy 0.174 0.326 0.000
Dy 0.326 0.826 0.000
Dy 0.674 0.174 0.000
Dy 0.826 0.674 0.000
Be 0.000 0.000 0.000
Be 0.500 0.500 0.000
Si 0.130 0.630 0.000
Si 0.370 0.130 0.000
Si 0.630 0.870 0.000
Si 0.870 0.370 0.000
Ni 0.000 0.500 0.500
Ni 0.055 0.810 0.500
Ni 0.190 0.055 0.500
Ni 0.310 0.555 0.500
Ni 0.445 0.310 0.500
Ni 0.500 0.000 0.500
Ni 0.555 0.690 0.500
Ni 0.690 0.445 0.500
Ni 0.810 0.945 0.500
Ni 0.945 0.190 0.500
! Electronic total energy ... -112.87 eV/cell